Compound: Ho4TlSnN2
Source: OQMD
Functional: PBE
Structure: optimized geometry

Unit cell a=3.5112 b=3.5112 c=15.4938 alpha=90.00 beta=90.00 gamma=120.00
Space group P-6m2 (No. 187)
Unique sites:
Ho 0.0000 0.0000 0.1630 x2
Ho 0.3333 0.6667 0.3323 x2
Tl 0.0000 0.0000 0.5000 x1
Sn 0.3333 0.6667 0.0000 x1
N 0.6667 0.3333 0.2473 x2

Output
**E_tot**: -6.27 eV per atom